Mg2InTc, optimized geometry, DFT PBE-GGA; formation energy = 0.77 eV per formula unit; crystal system = cubic
1.0
0.000 3.321 3.321
3.321 0.000 3.321
3.321 3.321 0.000
Mg In Tc
2 1 1
Direct
0.000 0.000 0.000
0.250 0.250 0.250
0.500 0.500 0.500
0.750 0.750 0.750

---

NbIrI2F, optimized geometry, DFT PBE-GGA; formation energy from raw total energies = 0.867 eV/atom; crystal system = tetragonal
1.0
5.472 0.000 0.000
0.000 5.472 0.000
0.000 0.000 3.944
Nb Ir I F
1 1 2 1
Direct
0.000 0.000 0.000
0.500 0.500 0.000
0.000 0.500 0.500
0.500 0.000 0.500
0.500 0.500 0.500

---

NdSi2Ni5Pt, optimized geometry, DFT PBE-GGA; formation energy from raw total energies = -0.169 eV/atom; crystal system = tetragonal
1.0
4.478 0.000 0.000
0.000 4.478 0.000
0.000 0.000 6.679
Nd Si Ni Pt
1 2 5 1
Direct
0.000 0.000 0.000
0.500 0.500 0.328
0.500 0.500 0.672
0.000 0.500 0.297
0.000 0.500 0.703
0.500 0.000 0.297
0.500 0.000 0.703
0.500 0.500 0.000
0.000 0.000 0.500

---

Cr2RuBr, optimized geometry, DFT PBE-GGA; formation energy from raw total energies = 0.724 eV/atom; crystal system = monoclinic
1.0
4.375 -1.463 0.000
4.375 1.463 0.000
-0.544 0.000 4.608
Cr Ru Br
2 1 1
Direct
0.000 0.000 0.000
0.729 0.729 0.235
0.268 0.268 0.801
0.484 0.484 0.451

---

Ba2PbCl2O2, optimized geometry, DFT PBE-GGA; formation energy from raw total energies = -1.991 eV/atom; crystal system = tetragonal
1.0
-2.385 2.385 7.992
2.385 -2.385 7.992
2.385 2.385 -7.992
Ba Pb Cl O
2 1 2 2
Direct
0.111 0.111 0.000
0.889 0.889 0.000
0.500 0.500 0.000
0.309 0.309 0.000
0.691 0.691 0.000
0.000 0.500 0.500
0.500 0.000 0.500

---

ThMg2Ni2Ge, optimized geometry, DFT PBE-GGA; formation energy = -0.75 eV per formula unit; crystal system = tetragonal
1.0
-2.435 2.435 5.029
2.435 -2.435 5.029
2.435 2.435 -5.029
Th Mg Ni Ge
1 2 2 1
Direct
0.000 0.000 0.000
0.250 0.750 0.500
0.750 0.250 0.500
0.273 0.273 0.000
0.727 0.727 0.000
0.500 0.500 0.000

---

LuInPd, optimized geometry, DFT PBE-GGA; formation energy = -1.92 eV per formula unit; crystal system = tetragonal
1.0
-1.728 1.728 5.306
1.728 -1.728 5.306
1.728 1.728 -5.306
Lu In Pd
1 1 1
Direct
0.000 0.000 0.000
0.696 0.696 0.000
0.342 0.342 0.000

---

DyHo8Te2, optimized geometry, DFT PBE-GGA; formation energy from raw total energies = -0.110 eV/atom; crystal system = monoclinic
1.0
7.412 -4.365 0.000
7.412 4.365 0.000
-0.850 0.000 5.618
Dy Ho Te
1 8 2
Direct
0.000 0.000 0.000
0.215 0.215 0.126
0.235 0.605 0.228
0.355 0.355 0.708
0.395 0.765 0.772
0.605 0.235 0.228
0.645 0.645 0.292
0.765 0.395 0.772
0.785 0.785 0.874
0.131 0.131 0.579
0.869 0.869 0.421

---

| no. | electronic total energy (eV/atom) |
| --- | --- |
| 1 | -3.880 |
| 2 | -3.913 |
| 3 | -5.787 |
| 4 | -6.825 |
| 5 | -5.015 |
| 6 | -4.590 |
| 7 | -4.791 |
| 8 | -4.429 |